Entry 1:
# YOsPb2

A geometry-optimized YOsPb2 structure (PBE, Alexandria via LeMat-Bulk).

Cell and atoms, written as extended XYZ:
```
4
Lattice="-2.5418 8.1637 -4.2531 -5.2218 7.7151 -2.0990 -2.3120 9.2160 -0.9570" Properties=species:S:1:pos:R:3 pbc="T T T"
Os -7.5567 18.8210 -5.4819
Pb -0.1263 0.3145 -0.0916
Pb -4.9115 12.2329 -3.5630
Y -2.5189 6.2737 -1.8273
```

Values from the calculation:
As for the formation energy: 44.7 kJ/mol of atoms. As for the space-group type: R-3m. For the total energy, the calculation gives -5.8144 eV per atom. As for the density of states at the Fermi level: 3.19 states/eV/f.u. For the density, the calculation gives 11.84 g cm⁻³.

=====

Entry 2:
# BaAc2Ho

A geometry-optimized BaAc2Ho structure (PBE, Alexandria via LeMat-Bulk).

Cell and atoms, written as extended XYZ:
```
4
Lattice="3.9434 0.0000 0.0000 1.9717 3.4151 0.0000 1.9717 1.1384 12.9927" Properties=species:S:1:pos:R:3 pbc="T T T"
Ba 3.9434 2.2767 6.5089
Ac 1.9717 1.1384 10.0565
Ac 1.9717 1.1384 2.9276
Ho 5.9151 3.4151 12.9887
```

Values from the calculation:
As for the formation energy: 9.6 kJ/mol of atoms. As for the space-group type: R3m. For the total energy, the calculation gives -3.5801 eV per atom. As for the density of states at the Fermi level: 5.46 states/eV/f.u. For the density, the calculation gives 7.18 g cm⁻³.

=====

Entry 3:
# Cu2Ni5W

A geometry-optimized Cu2Ni5W structure (PBE, Alexandria via LeMat-Bulk).

Cell and atoms, written as extended XYZ:
```
8
Lattice="-0.9130 3.4053 -0.8830 -2.2569 0.1329 2.8457 6.8500 0.6954 3.0792" Properties=species:S:1:pos:R:3 pbc="T T T"
Cu 1.0181 2.9875 2.9888
Cu 2.6621 1.2461 2.0531
Ni -1.5849 1.7691 0.9814
Ni 2.8333 1.9209 4.4783
Ni 3.5053 3.5571 2.6139
Ni 0.8468 2.3127 0.5636
Ni 0.1749 0.6765 2.4280
W 0.0000 0.0000 0.0000
```

Values from the calculation:
As for the formation energy: -4.6 kJ/mol of atoms. As for the space-group type: I4/mmm. For the total energy, the calculation gives -6.3047 eV per atom. As for the density of states at the Fermi level: 6.42 states/eV/f.u. For the density, the calculation gives 10.71 g cm⁻³.

=====

Entry 4:
# Y2MgTe

A geometry-optimized Y2MgTe structure (PBE, Alexandria via LeMat-Bulk).

Cell and atoms, written as extended XYZ:
```
4
Lattice="7.8059 0.0006 0.0014 -3.0015 4.5513 -0.0088 1.8029 1.1930 3.0639" Properties=species:S:1:pos:R:3 pbc="T T T"
Mg -0.5993 2.8722 1.5275
Te 2.4022 2.2759 -0.0037
Y 0.0000 0.0000 0.0000
Y 4.8044 0.5968 1.5327
```

Values from the calculation:
As for the space-group type: Cmmm. For the total energy, the calculation gives -4.9422 eV per atom. As for the density of states at the Fermi level: 4.61 states/eV/f.u. For the density, the calculation gives 5.03 g cm⁻³. For the formation energy from raw total energies, the calculation gives -0.53 eV/atom.

=====

Entry 5:
# DyAlAu

A geometry-optimized DyAlAu structure (PBE, Alexandria via LeMat-Bulk).

Cell and atoms, written as extended XYZ:
```
3
Lattice="4.6684 0.0000 0.0000 2.3342 4.0429 0.0000 2.3342 1.3476 3.8117" Properties=species:S:1:pos:R:3 pbc="T T T"
Au 2.3342 1.3476 0.9529
Al 0.0000 0.0000 0.0000
Dy 4.6684 2.6953 1.9058
```

Values from the calculation:
As for the formation energy: -57.0 kJ/mol of atoms. As for the space-group type: F-43m. For the total energy, the calculation gives -4.4646 eV per atom. As for the density of states at the Fermi level: 5.31 states/eV/f.u. For the density, the calculation gives 8.92 g cm⁻³.

=====

Entry 6:
# Ti3HgP

A geometry-optimized Ti3HgP structure (PBE, Alexandria via LeMat-Bulk).

Cell and atoms, written as extended XYZ:
```
5
Lattice="4.9738 0.0000 0.0000 0.0000 4.9738 0.0000 0.0000 0.0000 4.9738" Properties=species:S:1:pos:R:3 pbc="T T T"
P 2.4869 2.4869 2.4869
Hg 0.0000 0.0000 0.0000
Ti 0.0000 2.4869 0.0000
Ti 0.0000 0.0000 2.4869
Ti 2.4869 0.0000 0.0000
```

Values from the calculation:
As for the formation energy: 111.5 kJ/mol of atoms. As for the space-group type: Pm-3m. For the total energy, the calculation gives -4.7232 eV per atom. As for the density of states at the Fermi level: 4.81 states/eV/f.u. For the density, the calculation gives 5.06 g cm⁻³.

=====

Entry 7:
# CsCd2AgPb4

A geometry-optimized CsCd2AgPb4 structure (PBE, Alexandria via LeMat-Bulk).

Cell and atoms, written as extended XYZ:
```
8
Lattice="5.2518 0.0000 0.0000 2.6259 4.5482 0.0000 2.6259 1.5161 11.1829" Properties=species:S:1:pos:R:3 pbc="T T T"
Cs 0.0000 0.0000 0.0000
Cd 7.8777 4.5482 8.1140
Cd 2.6259 1.5161 3.0689
Ag 5.2518 3.0321 5.5915
Pb 5.2518 3.0321 8.5343
Pb 7.8777 4.5482 4.5590
Pb 2.6259 1.5161 6.6240
Pb 5.2518 3.0321 2.6486
```

Values from the calculation:
As for the formation energy: -3.0 kJ/mol of atoms. As for the space-group type: R-3m. For the total energy, the calculation gives -2.5774 eV per atom. As for the density of states at the Fermi level: 2.62 states/eV/f.u. For the density, the calculation gives 8.05 g cm⁻³.

=====

Entry 8:
# LiP2Au

A geometry-optimized LiP2Au structure (PBE, Alexandria via LeMat-Bulk).

Cell and atoms, written as extended XYZ:
```
4
Lattice="-1.0106 2.2231 1.7440 0.4883 -2.6499 1.3207 7.9588 2.3024 1.6772" Properties=species:S:1:pos:R:3 pbc="T T T"
Au 4.1901 1.2122 0.8830
Li 5.8435 1.5526 2.8188
P 0.0901 0.0261 0.0190
P 1.2922 0.2359 1.8597
```

Values from the calculation:
As for the formation energy: 10.8 kJ/mol of atoms. As for the space-group type: Cmm2. For the total energy, the calculation gives -3.8908 eV per atom. As for the density of states at the Fermi level: 1.06 states/eV/f.u. For the density, the calculation gives 6.51 g cm⁻³.

=====

Entry 9:
# PuSn2

A geometry-optimized PuSn2 structure (PBE, Alexandria via LeMat-Bulk).

Cell and atoms, written as extended XYZ:
```
6
Lattice="-0.1723 -3.5464 -2.8586 -0.8374 -2.8667 3.6069 -7.0034 2.7918 0.5930" Properties=species:S:1:pos:R:3 pbc="T T T"
Pu -2.2910 -1.4564 -1.6894
Pu -4.8848 0.7018 -0.5763
Sn 0.0000 0.0000 0.0000
Sn -0.5048 -3.2065 0.3741
Sn -5.1401 -2.5406 -0.1727
Sn -2.8729 -1.0807 1.5139
```

Values from the calculation:
As for the formation energy: -35.7 kJ/mol of atoms. As for the space-group type: Cmmm. For the total energy, the calculation gives -7.8159 eV per atom. As for the density of states at the Fermi level: 8.30 states/eV/f.u. For the density, the calculation gives 10.39 g cm⁻³.

=====

Entry 10:
# LiVGa2

A geometry-optimized LiVGa2 structure (PBE, Alexandria via LeMat-Bulk).

Cell and atoms, written as extended XYZ:
```
8
Lattice="3.8961 0.0000 0.0000 0.0000 3.8961 0.0000 1.9480 1.9480 9.0813" Properties=species:S:1:pos:R:3 pbc="T T T"
V 0.0000 0.0000 0.0000
V 3.8961 1.9480 4.5406
Ga 2.9648 0.9740 2.2703
Ga 0.9313 2.9221 2.2703
Ga 2.9221 2.8793 6.8110
Ga 4.8701 4.9129 6.8110
Li 1.9480 1.9480 0.0000
Li 1.9480 3.8961 4.5406
```

Values from the calculation:
As for the formation energy: 30.7 kJ/mol of atoms. As for the space-group type: I-42d. For the total energy, the calculation gives -3.9538 eV per atom. As for the density of states at the Fermi level: 2.52 states/eV/f.u. For the density, the calculation gives 4.75 g cm⁻³.

=====

Entry 11:
# RbBa2BSe

A geometry-optimized RbBa2BSe structure (PBE, Alexandria via LeMat-Bulk).

Cell and atoms, written as extended XYZ:
```
5
Lattice="-2.3570 -5.6735 1.1818 1.0292 -1.6771 -5.9987 5.7048 -2.0470 1.5511" Properties=species:S:1:pos:R:3 pbc="T T T"
B 2.1885 -4.6988 -1.6329
Se 0.0000 0.0000 0.0000
Ba 2.8524 -1.0235 0.7755
Ba -1.1785 -2.8368 0.5909
Rb 0.5146 -0.8386 -2.9994
```

Values from the calculation:
As for the space-group type: P4/mmm. For the total energy, the calculation gives -2.7746 eV per atom. As for the density of states at the Fermi level: 1.65 states/eV/f.u. For the density, the calculation gives 3.02 g cm⁻³. For the formation energy from raw total energies, the calculation gives 0.22 eV/atom.

=====

Entry 12:
# H2OsPt

A geometry-optimized H2OsPt structure (PBE, Alexandria via LeMat-Bulk).

Cell and atoms, written as extended XYZ:
```
4
Lattice="2.7403 0.0000 0.0000 1.3702 2.3732 0.0000 1.3702 0.7911 6.0165" Properties=species:S:1:pos:R:3 pbc="T T T"
H 1.3702 0.7911 4.1760
H 4.1105 2.3732 1.8405
Os 0.0000 0.0000 0.0000
Pt 2.7403 1.5821 3.0083
```

Values from the calculation:
As for the space-group type: R-3m. For the total energy, the calculation gives -5.4190 eV per atom. As for the density of states at the Fermi level: 2.98 states/eV/f.u. For the density, the calculation gives 16.44 g cm⁻³.